*a*
Below is a relaxed AsOsSe2 crystal, with properties calculated at the GGA-PBE level.

```
AsOsSe2
1.0
1.4473 -2.5347 0.0000
1.4473 2.5347 0.0000
0.0000 0.0000 10.7119
As Os Se
1 1 2
Direct
0.0000 0.0000 0.0000
0.5000 0.5000 0.1989
0.0000 0.0000 0.3928
0.5000 0.5000 0.6936
```

Values from the calculation:
Density = 8.9 g/cm3
Size of the total moment = 0.00 μB/f.u.
Volume = 79 Å³/cell

=====

*b*
Below is a relaxed AsOsSe2 crystal, with properties calculated at the GGA-PBE level.

```
AsOsSe2
1.0
1.8252 1.0538 8.0152
-1.8252 1.0538 8.0152
0.0000 -2.1076 8.0152
As Os Se
1 1 2
Direct
0.0000 0.0000 0.0000
0.5000 0.5000 0.5000
0.1115 0.1115 0.1115
0.8885 0.8885 0.8885
```

Values from the calculation:
Density = 7.6 g/cm3
Size of the total moment = 0.00 μB/f.u.
Volume = 93 Å³/cell

=====

*c*
Below is a relaxed AsOsSe2 crystal, with properties calculated at the GGA-PBE level.

```
AsOsSe2
1.0
4.1698 -1.8289 0.0000
4.1698 1.8289 0.0000
-2.1759 0.0000 6.0551
As Os Se
1 1 2
Direct
0.0000 0.0000 0.0000
0.7067 0.7067 0.0194
0.1292 0.1292 0.7079
0.3064 0.3064 0.3104
```

Values from the calculation:
Density = 7.6 g/cm3
Size of the total moment = 0.00 μB/f.u.
Volume = 92 Å³/cell

=====

Least stable of them? *a*.

=====

*a*
Below is a relaxed AsOsSe2 crystal, with properties calculated at the GGA-PBE level.

```
AsOsSe2
1.0
-1.5201 2.2657 5.7671
1.5201 -2.2657 5.7671
1.5201 2.2657 -5.7671
As Os Se
1 1 2
Direct
0.0000 0.0000 0.0000
0.1813 0.6813 0.5000
0.3551 0.3551 0.0000
0.6472 0.1472 0.5000
```

Values from the calculation:
Density = 8.8 g/cm3
Size of the total moment = 0.00 μB/f.u.
Volume = 79 Å³/cell

=====

*b*
Below is a relaxed AsOsSe2 crystal, with properties calculated at the GGA-PBE level.

```
AsOsSe2
1.0
-2.6436 2.6436 2.6066
2.6436 -2.6436 2.6066
2.6436 2.6436 -2.6066
As Os Se
1 1 2
Direct
0.0000 0.0000 0.0000
0.5000 0.5000 0.0000
0.0000 0.5000 0.5000
0.5000 0.0000 0.5000
```

Values from the calculation:
Density = 9.6 g/cm3
Size of the total moment = 0.00 μB/f.u.
Volume = 73 Å³/cell

=====

Least stable of them? *b*.

=====

*a*
Below is a relaxed AsOsSe2 crystal, with properties calculated at the GGA-PBE level.

```
AsOsSe2
1.0
4.6614 0.0000 0.0000
0.0000 4.6614 0.0000
0.0000 0.0000 3.1357
As Os Se
1 1 2
Direct
0.0000 0.0000 0.0000
0.5000 0.5000 0.0000
0.0000 0.5000 0.5000
0.5000 0.0000 0.5000
```

Values from the calculation:
Density = 10.3 g/cm3
Size of the total moment = 0.00 μB/f.u.
Volume = 68 Å³/cell

=====

*b*
Below is a relaxed AsOsSe2 crystal, with properties calculated at the GGA-PBE level.

```
AsOsSe2
1.0
-1.5702 2.2258 5.7220
1.5702 -2.2258 5.7220
1.5702 2.2258 -5.7220
As Os Se
1 1 2
Direct
0.0000 0.0000 0.0000
0.5000 0.5000 0.0000
0.3253 0.8253 0.5000
0.6747 0.1747 0.5000
```

Values from the calculation:
Density = 8.8 g/cm3
Size of the total moment = 0.00 μB/f.u.
Volume = 80 Å³/cell

=====

Least stable of them? *a*.

=====

*a*
Below is a relaxed AsOsSe2 crystal, with properties calculated at the GGA-PBE level.

```
AsOsSe2
1.0
1.7163 0.9909 8.4128
-1.7163 0.9909 8.4128
0.0000 -1.9818 8.4128
As Os Se
1 1 2
Direct
0.0000 0.0000 0.0000
0.2577 0.2577 0.2577
0.5362 0.5362 0.5362
0.7339 0.7339 0.7339
```

Values from the calculation:
Density = 8.2 g/cm3
Size of the total moment = 0.00 μB/f.u.
Volume = 86 Å³/cell

=====

*b*
Below is a relaxed AsOsSe2 crystal, with properties calculated at the GGA-PBE level.

```
AsOsSe2
1.0
3.8548 0.0000 0.0000
0.0000 2.3705 4.4994
0.0000 -2.3705 4.4994
As Os Se
1 1 2
Direct
0.0000 0.0000 0.0000
0.5000 0.1762 0.1762
0.0000 0.3681 0.3681
0.5000 0.6968 0.6968
```

Values from the calculation:
Density = 8.5 g/cm3
Size of the total moment = 0.00 μB/f.u.
Volume = 82 Å³/cell

=====

Least stable of them? *a*.